{
  "formula": "Ge4Pd5Pt4",
  "functional": "PBE",
  "state": "optimized geometry",
  "volume_a3_per_atom": 15.67,
  "ef_ev_per_fu": -5.56,
  "rho_g_cm3": 13.07,
  "total_energy_ev_per_atom": -5.704,
  "spacegroup": "I4/m, No. 87",
  "lattice_angstrom": [[3.871, 0.000, 0.984], [1.935, 7.142, 0.492], [0.176, 0.000, 7.414]],
  "species": ["Pd", "Ge", "Pt", "Pt", "Pd", "Ge", "Pd", "Ge", "Pt", "Pd", "Pt", "Pd", "Ge"],
  "frac_coords": [[0.000, 0.000, 0.000], [0.082, 0.157, 0.678], [0.110, 0.489, 0.292], [0.599, 0.292, 0.511], [0.618, 0.693, 0.072], [0.239, 0.678, 0.843], [0.311, 0.072, 0.307], [0.761, 0.322, 0.157], [0.401, 0.708, 0.489], [0.689, 0.928, 0.693], [0.890, 0.511, 0.708], [0.382, 0.307, 0.928], [0.918, 0.843, 0.322]]
}